# 1
Al2CoBAs PBE-GGA relaxed; space group = P4/mmm, No. 123; magnetic moment = 0.22 μB per atom; DFT total energy = -3.7749 eV/atom; E_form = 32.49 kcal/mol of atoms; D(E_F) = 3.842 states/eV/cell; calculated volume = 100.7 Å³/cell
1.0
-0.174 4.846 -0.135
-2.858 -0.014 3.185
3.606 0.219 3.237
Al B As Co
2 1 1 1
Cartesian
1.803 0.110 1.619
-0.087 2.423 -0.067
0.287 2.526 3.144
0.000 0.000 0.000
-1.429 -0.007 1.593



# 2
AlBAsF2 PBE-GGA relaxed; space group = P4/mmm, No. 123; magnetic moment = 0.00 μB per atom; DFT total energy = -4.9015 eV/atom; energy relative to the elements, uncorrected = -5.70 eV per formula unit; D(E_F) = 0.750 states/eV/cell; calculated volume = 67.2 Å³/cell
1.0
-2.409 1.855 -1.783
-3.873 -1.895 3.261
0.494 2.730 2.174
Al B As F
1 1 1 2
Cartesian
0.000 0.000 0.000
-2.894 1.345 1.826
-1.937 -0.948 1.630
-1.204 0.928 -0.891
0.247 1.365 1.087



# 3
AlHg2BAs PBE-GGA relaxed; space group = P4/mmm, No. 123; magnetic moment = 0.00 μB per atom; DFT total energy = -2.5408 eV/atom; E_form = 13.69 kcal/mol of atoms; D(E_F) = 3.057 states/eV/cell; calculated volume = 98.3 Å³/cell
1.0
-1.609 -0.343 4.668
0.814 -3.931 -0.009
4.571 0.943 1.645
As Al Hg B
1 1 2 1
Cartesian
1.889 -1.666 3.152
0.407 -1.966 -0.004
-0.804 -0.172 2.334
2.286 0.472 0.822
0.000 0.000 0.000



# 4
AlHgBAs2 PBE-GGA relaxed; space group = P4/mmm, No. 123; magnetic moment = 0.00 μB per atom; DFT total energy = -3.4294 eV/atom; E_form = 13.25 kcal/mol of atoms; D(E_F) = 2.169 states/eV/cell; calculated volume = 90.4 Å³/cell
1.0
-1.650 0.966 -4.231
-3.836 -1.171 1.228
-0.898 4.352 1.344
As Hg B Al
2 1 1 1
Cartesian
-0.825 0.483 -2.115
-0.449 2.176 0.672
-3.192 2.074 -0.829
0.000 0.000 0.000
-1.918 -0.585 0.614